Density functional theory data (GGA+U) for crystalline Ba4TmMo3O12 at its relaxed geometry.

Calculated values
Space group: Im-3m
Electronic total energy in eV per atom: -7.10
Spin magnetization in Bohr magnetons per cell: 5.00
DOS(E_F) in states/eV/cell: 10.16

Cell lengths 7.254, 7.254, 7.254 Å; angles 109.47, 109.47, 109.47 degrees
Fractional coordinates of all 20 atoms:
Ba 0.000 0.000 0.500
Ba 0.000 0.500 0.000
Ba 0.500 0.000 0.000
Ba 0.500 0.500 0.500
Tm 0.000 0.000 0.000
Mo 0.000 0.500 0.500
Mo 0.500 0.000 0.500
Mo 0.500 0.500 0.000
O 0.000 0.262 0.262
O 0.000 0.738 0.738
O 0.250 0.500 0.750
O 0.250 0.750 0.500
O 0.262 0.000 0.262
O 0.262 0.262 0.000
O 0.500 0.250 0.750
O 0.500 0.750 0.250
O 0.738 0.000 0.738
O 0.738 0.738 0.000
O 0.750 0.250 0.500
O 0.750 0.500 0.250